(1)
The following is a DFT calculation (PBE) of a geometry-optimized BaInSbPd3 structure.

It has space group Cmcm (No. 63), with a = 7.063 Å, b = 13.171 Å, c = 6.519 Å, α = 90.00°, β = 90.00° and γ = 90.00°. The asymmetric unit holds Ba at (0.000, 0.213, 0.250), In at (0.000, 0.479, 0.250), Sb at (0.000, 0.120, 0.750), Pd at (0.000, 0.317, 0.750) and Pd at (0.203, 0.000, 0.000).

The formation energy from raw total energies comes out at -0.513 eV/atom. Its theoretical density is 7.59 g/cm³. The value obtained for the total DFT energy (no corrections) is -4.5730 eV per atom. The calculation puts the density of states at the Fermi level at 0.398 states/eV/atom. The calculation puts the magnetic moment at 0.0 μB/f.u.

(2)
The following is a DFT calculation (PBE) of a geometry-optimized Ba2In3SbPd4 structure.

It has space group P-4m2 (No. 115), with a = 4.874 Å, b = 4.874 Å, c = 10.653 Å, α = 90.00°, β = 90.00° and γ = 90.00°. The asymmetric unit holds Ba at (0.000, 0.500, 0.243), In at (0.000, 0.500, 0.882), In at (0.500, 0.500, 0.500), Sb at (0.000, 0.000, 0.500), Pd at (0.000, 0.000, 0.000), Pd at (0.000, 0.500, 0.623) and Pd at (0.500, 0.500, 0.000).

The formation energy from raw total energies comes out at -0.644 eV/atom. Its theoretical density is 7.65 g/cm³. The value obtained for the total DFT energy (no corrections) is -4.3391 eV per atom. The calculation puts the density of states at the Fermi level at 0.435 states/eV/atom. The calculation puts the magnetic moment at 0.0 μB/f.u.

(3)
The following is a DFT calculation (PBE) of a geometry-optimized BaInSiPd3 structure.

It has space group Cmcm (No. 63), with a = 7.259 Å, b = 13.050 Å, c = 6.230 Å, α = 90.00°, β = 90.00° and γ = 90.00°. The asymmetric unit holds Ba at (0.000, 0.229, 0.250), In at (0.000, 0.465, 0.750), Si at (0.000, 0.083, 0.750), Pd at (0.000, 0.260, 0.750) and Pd at (0.198, 0.000, 0.000).

The formation energy from raw total energies comes out at -0.561 eV/atom. Its theoretical density is 6.75 g/cm³. The value obtained for the total DFT energy (no corrections) is -4.8381 eV per atom. The calculation puts the density of states at the Fermi level at 0.429 states/eV/atom. The calculation puts the magnetic moment at 0.0 μB/f.u.

(4)
The following is a DFT calculation (PBE) of a geometry-optimized BaInSn2Pd2 structure.

It has space group P4/mmm (No. 123), with a = 5.032 Å, b = 5.032 Å, c = 6.617 Å, α = 90.00°, β = 90.00° and γ = 90.00°. The asymmetric unit holds Ba at (0.000, 0.000, 0.000), In at (0.000, 0.000, 0.500), Sn at (0.500, 0.500, 0.262) and Pd at (0.000, 0.500, 0.500).

Its theoretical density is 6.96 g/cm³. As for the calculated formation energy: -0.37 eV per atom. The value obtained for the total DFT energy (no corrections) is -4.2121 eV per atom. The calculation puts the density of states at the Fermi level at 0.407 states/eV/atom. The calculation puts the magnetic moment at 0.0 μB/f.u.

(5)
The following is a DFT calculation (PBE) of a geometry-optimized BaInSnPd structure.

It has space group R3m (No. 160, hexagonal axes), with a = 4.7079 Å, b = 4.7079 Å, c = 18.7423 Å, α = 90.00°, β = 90.00° and γ = 120.00°. The asymmetric unit holds Ba at (0.0000, 0.0000, 0.0000), In at (0.0000, 0.0000, 0.5428), Sn at (0.0000, 0.0000, 0.7943) and Pd at (0.0000, 0.0000, 0.1774).

Its theoretical density is 6.61 g/cm³. As for the calculated formation energy: -0.58 eV per atom. The value obtained for the total DFT energy (no corrections) is -4.0443 eV per atom. The calculation puts the density of states at the Fermi level at 0.595 states/eV/atom. The calculation puts the magnetic moment at 0.0 μB/f.u.

(6)
The following is a DFT calculation (PBE) of a geometry-optimized Ba2InSn4Pd3 structure.

It has space group P-4m2 (No. 115), with a = 4.762 Å, b = 4.762 Å, c = 11.503 Å, α = 90.00°, β = 90.00° and γ = 90.00°. The asymmetric unit holds Ba at (0.000, 0.500, 0.247), In at (0.000, 0.000, 0.500), Sn at (0.000, 0.000, 0.000), Sn at (0.000, 0.500, 0.643), Sn at (0.500, 0.500, 0.000), Pd at (0.000, 0.500, 0.879) and Pd at (0.500, 0.500, 0.500).

Its theoretical density is 7.53 g/cm³. As for the calculated formation energy: -0.64 eV per atom. The value obtained for the total DFT energy (no corrections) is -4.4547 eV per atom. The calculation puts the density of states at the Fermi level at 0.600 states/eV/atom. The calculation puts the magnetic moment at 0.0 μB/f.u.

(7)
The following is a DFT calculation (PBE) of a geometry-optimized BaIn2SnPd2 structure.

It has space group P4/mmm (No. 123), with a = 5.047 Å, b = 5.047 Å, c = 6.553 Å, α = 90.00°, β = 90.00° and γ = 90.00°. The asymmetric unit holds Ba at (0.000, 0.000, 0.000), In at (0.500, 0.500, 0.259), Sn at (0.000, 0.000, 0.500) and Pd at (0.000, 0.500, 0.500).

Its theoretical density is 6.95 g/cm³. As for the calculated formation energy: -0.36 eV per atom. The value obtained for the total DFT energy (no corrections) is -3.9919 eV per atom. The calculation puts the density of states at the Fermi level at 0.629 states/eV/atom. The calculation puts the magnetic moment at 0.0 μB/f.u.

(8)
The following is a DFT calculation (PBE) of a geometry-optimized Ba3In2Sn2Pd4 structure.

It has space group P-3m1 (No. 164), with a = 4.6711 Å, b = 4.6711 Å, c = 17.1860 Å, α = 90.00°, β = 90.00° and γ = 120.00°. The asymmetric unit holds Ba at (0.0000, 0.0000, 0.0000), Ba at (0.0000, 0.0000, 0.2842), In at (0.3333, 0.6667, 0.5607), Sn at (0.3333, 0.6667, 0.1442), Pd at (0.3333, 0.6667, 0.4022) and Pd at (0.3333, 0.6667, 0.8564).

Its theoretical density is 6.67 g/cm³. As for the calculated formation energy: -0.56 eV per atom. The value obtained for the total DFT energy (no corrections) is -4.2006 eV per atom. The calculation puts the density of states at the Fermi level at 0.736 states/eV/atom. The calculation puts the magnetic moment at 0.0 μB/f.u.

(9)
The following is a DFT calculation (PBE) of a geometry-optimized BaInSn2Pd5 structure.

It has space group P4/mmm (No. 123), with a = 4.309 Å, b = 4.309 Å, c = 11.700 Å, α = 90.00°, β = 90.00° and γ = 90.00°. The asymmetric unit holds Ba at (0.000, 0.000, 0.000), In at (0.000, 0.000, 0.500), Sn at (0.500, 0.500, 0.224), Pd at (0.000, 0.500, 0.357) and Pd at (0.500, 0.500, 0.000).

Its theoretical density is 7.81 g/cm³. As for the calculated formation energy: -0.43 eV per atom. The value obtained for the total DFT energy (no corrections) is -4.7179 eV per atom. The calculation puts the density of states at the Fermi level at 0.510 states/eV/atom. The calculation puts the magnetic moment at 0.0 μB/f.u.

(10)
The following is a DFT calculation (PBE) of a geometry-optimized Ba2In3Sn4Pd structure.

It has space group P-4m2 (No. 115), with a = 5.108 Å, b = 5.108 Å, c = 11.583 Å, α = 90.00°, β = 90.00° and γ = 90.00°. The asymmetric unit holds Ba at (0.000, 0.500, 0.236), In at (0.000, 0.000, 0.000), In at (0.000, 0.500, 0.636), Sn at (0.000, 0.000, 0.500), Sn at (0.000, 0.500, 0.885), Sn at (0.500, 0.500, 0.500) and Pd at (0.500, 0.500, 0.000).

Its theoretical density is 6.60 g/cm³. As for the calculated formation energy: -0.40 eV per atom. The value obtained for the total DFT energy (no corrections) is -3.7272 eV per atom. The calculation puts the density of states at the Fermi level at 0.467 states/eV/atom. The calculation puts the magnetic moment at 0.0 μB/f.u.

(11)
The following is a DFT calculation (PBE) of a geometry-optimized BaIn2SnPd4 structure.

It has space group R-3m (No. 166, hexagonal axes), with a = 4.6341 Å, b = 4.6341 Å, c = 29.0266 Å, α = 90.00°, β = 90.00° and γ = 120.00°. The asymmetric unit holds Ba at (0.0000, 0.0000, 0.0000), In at (0.0000, 0.0000, 0.2405), Sn at (0.0000, 0.0000, 0.5000), Pd at (0.0000, 0.0000, 0.1375) and Pd at (0.0000, 0.0000, 0.4083).

Its theoretical density is 8.41 g/cm³. As for the calculated formation energy: -0.53 eV per atom. The value obtained for the total DFT energy (no corrections) is -4.5489 eV per atom. The calculation puts the density of states at the Fermi level at 0.359 states/eV/atom. The calculation puts the magnetic moment at 0.0 μB/f.u.

(12)
The following is a DFT calculation (PBE) of a geometry-optimized Ba2SrInPd structure.

It has space group P4/mmm (No. 123), with a = 6.138 Å, b = 6.138 Å, c = 5.890 Å, α = 90.00°, β = 90.00° and γ = 90.00°. The asymmetric unit holds Ba at (0.000, 0.500, 0.000), Sr at (0.000, 0.000, 0.500), In at (0.500, 0.500, 0.500) and Pd at (0.000, 0.000, 0.000).

Its theoretical density is 4.37 g/cm³. As for the calculated formation energy: -0.29 eV per atom. The value obtained for the total DFT energy (no corrections) is -2.9775 eV per atom. The calculation puts the density of states at the Fermi level at 1.052 states/eV/atom. The calculation puts the magnetic moment at 0.0 μB/f.u.